This record from Alexandria via LeMat-Bulk describes CsRhN2O after structural relaxation. The functional is PBE-GGA.

It has space group P4/mmm (No. 123), with a = 4.4132 Å, b = 4.4132 Å, c = 4.3919 Å, α = 90.00°, β = 90.00° and γ = 90.00°. The inequivalent atoms are Cs at (0.0000, 0.0000, 0.0000), Rh at (0.5000, 0.5000, 0.5000), N at (0.0000, 0.5000, 0.0000) and O at (0.0000, 0.0000, 0.5000).

For the energy relative to the elements, uncorrected, the calculation gives 2.8027 eV per atom. The calculation puts the density of states at the Fermi level at 5.69 states/eV per cell. The total energy comes out at -15.8 eV for the cell shown.